The following is a DFT calculation (PBE-GGA) of an optimized crystal structure of CaDy6Er8.

Cell lengths 8.1033, 8.1033, 8.1033 Å; angles 72.31, 72.31, 72.31 degrees
Last column: nearest neighbours and their distance in Å.
Fractional positions:
Ca 0.0000 0.0000 0.0000  6 Er 3.01
Dy 0.1757 0.4384 0.6169  7 Er 3.36-3.70, 3 Dy 3.62-3.68
Dy 0.3831 0.8243 0.5616  7 Er 3.36-3.70, 3 Dy 3.62-3.68
Dy 0.5616 0.3831 0.8243  7 Er 3.36-3.70, 3 Dy 3.62-3.68
Dy 0.4384 0.6169 0.1757  7 Er 3.36-3.70, 3 Dy 3.62-3.68
Dy 0.6169 0.1757 0.4384  7 Er 3.36-3.70, 3 Dy 3.62-3.68
Dy 0.8243 0.5616 0.3831  7 Er 3.36-3.70, 3 Dy 3.62-3.68
Er 0.1334 0.6250 0.9501  1 Ca 3.01, 2 Er 3.17-3.34, 1 Dy 3.36
Er 0.0499 0.8666 0.3750  1 Ca 3.01, 2 Er 3.17-3.34, 1 Dy 3.36
Er 0.3750 0.0499 0.8666  1 Ca 3.01, 2 Er 3.17-3.34, 1 Dy 3.36
Er 0.7597 0.7597 0.7597  6 Er 3.34-3.54, 6 Dy 3.69-3.70
Er 0.2404 0.2404 0.2404  6 Er 3.34-3.54, 6 Dy 3.69-3.70
Er 0.6250 0.9501 0.1334  1 Ca 3.01, 2 Er 3.17-3.34, 1 Dy 3.36
Er 0.9501 0.1334 0.6250  1 Ca 3.01, 2 Er 3.17-3.34, 1 Dy 3.36
Er 0.8666 0.3750 0.0499  1 Ca 3.01, 2 Er 3.17-3.34, 1 Dy 3.36

ΔE_f = 3.1 eV/f.u.
density of states at the Fermi level = 1.379 states/eV/atom
size of the total moment = 0.0 μB/cell
total energy = -4.20 eV/atom
SG = R-3, No. 148